1.
A geometry-optimized Sc4RuW structure. Source: the Alexandria database, functional PBE-GGA.

```
Sc4RuW
1.0
0.000 3.853 3.853
3.853 0.000 3.853
3.853 3.853 0.000
Sc Ru W
4 1 1
Cartesian
0.961 0.961 0.961
2.892 2.892 0.961
2.892 0.961 2.892
0.961 2.892 2.892
3.853 3.853 3.853
5.779 5.779 5.779
```

Calculated values
E_form   0.68 eV per atom
Total DFT energy (no corrections)   -7.24 eV/atom
V   114.4 Å³ per cell
D(E_F)   8.24 states/eV/cell

=====

2.
A geometry-optimized CeAl3Ir2 structure. Source: the Alexandria database, functional PBE-GGA.

```
CeAl3Ir2
1.0
8.252 -2.078 0.000
8.252 2.078 0.000
-2.974 0.000 9.487
Ce Al Ir
3 9 6
Cartesian
0.000 0.000 0.000
0.579 0.000 6.712
12.950 0.000 2.775
-0.328 0.000 3.347
2.350 0.000 3.746
5.229 0.000 0.321
3.781 0.000 7.525
6.765 0.000 4.743
9.748 0.000 1.962
8.300 0.000 9.165
11.179 0.000 5.740
13.858 0.000 6.139
2.769 0.000 1.195
4.371 0.000 5.141
7.149 0.000 2.076
6.380 0.000 7.410
9.158 0.000 4.345
10.760 0.000 8.292
```

Calculated values
E_form   -0.81 eV per atom
Total DFT energy (no corrections)   -6.63 eV/atom
V   325.4 Å³ per cell
D(E_F)   17.57 states/eV/cell

=====

3.
A geometry-optimized TbDy2Si2Pt7 structure. Source: the Alexandria database, functional PBE-GGA.

```
TbDy2Si2Pt7
1.0
2.871 -2.845 0.000
2.871 2.845 0.000
-2.110 0.000 13.634
Tb Dy Si Pt
1 2 2 7
Cartesian
0.000 0.000 0.000
-0.077 0.000 4.867
3.709 0.000 8.767
0.754 0.000 10.114
2.878 0.000 3.520
1.442 1.421 2.216
0.894 0.000 7.792
2.190 1.421 11.418
2.871 0.000 0.000
1.442 -1.421 2.216
2.738 0.000 5.842
2.190 -1.421 11.418
```

Calculated values
Formation energy from raw total energies   -1.12 eV per atom
Total DFT energy (no corrections)   -6.70 eV/atom
V   222.7 Å³ per cell
D(E_F)   4.94 states/eV/cell

=====

4.
A geometry-optimized RbIn3Br9 structure. Source: the Alexandria database, functional PBE-GGA.

```
RbIn3Br9
1.0
9.545 -5.391 0.000
9.545 5.391 0.000
-8.167 0.000 11.687
Rb In Br
2 6 18
Cartesian
5.461 5.011 5.843
9.545 -5.011 0.000
0.188 1.636 8.609
7.249 1.813 3.189
4.272 -1.636 2.766
6.187 1.476 9.859
3.166 -1.813 9.032
10.270 -1.476 4.016
7.088 4.253 2.521
-2.059 0.379 8.613
0.879 2.358 10.995
2.025 -0.379 2.769
4.467 2.952 8.697
6.049 0.201 1.540
1.965 -0.201 7.384
6.341 1.528 5.511
9.789 1.134 3.182
14.084 1.806 0.807
8.645 1.562 9.191
4.962 -2.358 5.151
2.257 -1.528 11.354
5.706 -1.134 9.025
8.550 -2.952 2.854
3.005 -4.253 8.365
12.728 -1.562 3.348
10.001 -1.806 6.650
```

Calculated values
Formation energy from raw total energies   -0.88 eV per atom
Total DFT energy (no corrections)   -2.74 eV/atom
V   1202.7 Å³ per cell
D(E_F)   11.40 states/eV/cell

=====

5.
A geometry-optimized Ba2SrLa structure. Source: the Alexandria database, functional PBE-GGA.

```
Ba2SrLa
1.0
4.183 0.000 0.000
0.000 4.183 0.000
0.000 0.000 12.030
Ba Sr La
2 1 1
Cartesian
0.000 0.000 0.000
2.091 2.091 3.367
2.091 2.091 8.786
0.000 0.000 6.127
```

Calculated values
E_form   0.12 eV per atom
Total DFT energy (no corrections)   -2.49 eV/atom
V   210.5 Å³ per cell
Energy relative to the lowest polymorph listed for this composition   4 meV/atom
D(E_F)   6.58 states/eV/cell

=====

6.
A geometry-optimized Dy2TlCl7 structure. Source: the Alexandria database, functional PBE-GGA.

```
Dy2TlCl7
1.0
4.253 -6.809 0.000
4.253 6.809 0.000
0.000 0.000 5.281
Dy Tl Cl
2 1 7
Cartesian
4.253 4.126 0.000
4.253 -4.126 0.000
4.253 0.000 2.640
0.000 0.000 0.000
2.655 1.895 0.000
4.253 3.997 2.640
2.655 -1.895 0.000
5.851 1.895 0.000
4.253 -3.997 2.640
5.851 -1.895 0.000
```

Calculated values
Formation energy from raw total energies   -2.01 eV per atom
Total DFT energy (no corrections)   -4.46 eV/atom
V   305.8 Å³ per cell
D(E_F)   0.00 states/eV/cell

=====

7.
A geometry-optimized Dy3HoHg7 structure. Source: the Alexandria database, functional PBE-GGA.

```
Dy3HoHg7
1.0
1.802 -15.647 0.000
1.802 15.647 0.000
0.000 0.000 12.620
Dy Ho Hg
6 2 14
Cartesian
1.802 13.503 6.907
1.802 13.503 12.024
1.802 9.756 3.155
1.802 -9.756 9.465
1.802 -13.503 0.597
1.802 -13.503 5.713
1.802 13.409 3.155
1.802 -13.409 9.465
1.802 7.195 7.294
1.802 7.195 11.636
1.802 4.006 7.562
1.802 4.006 11.368
1.802 2.466 3.155
1.802 0.354 7.797
1.802 0.354 11.134
1.802 -0.354 1.486
1.802 -0.354 4.824
1.802 -2.466 9.465
1.802 -4.006 1.252
1.802 -4.006 5.058
1.802 -7.195 0.984
1.802 -7.195 5.326
```

Calculated values
E_form   -0.21 eV per atom
Total DFT energy (no corrections)   -2.08 eV/atom
V   711.8 Å³ per cell
D(E_F)   22.44 states/eV/cell

=====

8.
A geometry-optimized LiPa2SbN6 structure. Source: the Alexandria database, functional PBE-GGA.

```
LiPa2SbN6
1.0
2.820 1.628 5.208
-2.820 1.628 5.208
0.000 -3.257 5.208
Li Pa Sb N
1 2 1 6
Cartesian
0.000 0.000 0.000
0.000 0.000 4.081
0.000 0.000 11.959
0.000 0.000 7.220
-1.615 -0.075 5.704
-0.990 -1.579 8.151
0.872 -1.362 5.704
-0.872 1.647 8.151
0.743 1.436 5.704
1.862 -0.068 8.151
```

Calculated values
Formation energy from raw total energies   -0.49 eV per atom
Total DFT energy (no corrections)   -7.98 eV/atom
V   143.5 Å³ per cell
D(E_F)   7.29 states/eV/cell

=====

9.
A geometry-optimized Pa2Be15Co2 structure. Source: the Alexandria database, functional PBE-GGA.

```
Pa2Be15Co2
1.0
3.940 2.275 3.681
-3.940 2.275 3.681
0.000 -4.550 3.681
Pa Be Co
2 15 2
Cartesian
0.000 0.000 1.717
0.000 0.000 9.325
-1.970 -1.138 3.681
0.000 -2.221 3.603
-1.924 1.111 3.603
-1.056 -1.829 5.521
-2.112 0.000 5.521
-1.924 -1.111 7.439
-1.970 1.137 7.361
1.056 -1.829 5.521
0.000 2.275 3.681
-1.056 1.829 5.521
1.924 1.111 3.603
2.112 0.000 5.521
1.056 1.829 5.521
1.924 -1.111 7.439
0.000 2.221 7.439
0.000 0.000 4.254
0.000 0.000 6.787
```

Calculated values
E_form   -0.17 eV per atom
Total DFT energy (no corrections)   -4.86 eV/atom
V   198.0 Å³ per cell
D(E_F)   8.03 states/eV/cell

=====

10.
A geometry-optimized Tl5SnSb2 structure. Source: the Alexandria database, functional PBE-GGA.

```
Tl5SnSb2
1.0
7.055 0.000 0.000
0.000 14.284 0.000
0.000 0.000 4.842
Tl Sn Sb
10 2 4
Cartesian
0.000 0.000 0.000
7.054 3.625 0.000
0.001 10.659 0.000
1.724 1.753 2.421
1.804 8.895 2.421
3.526 3.517 0.000
3.527 7.142 0.000
3.528 10.767 0.000
5.251 5.389 2.421
5.331 12.531 2.421
0.000 7.142 0.000
3.527 0.000 0.000
1.601 5.503 2.421
1.927 12.645 2.421
5.128 1.639 2.421
5.454 8.782 2.421
```

Calculated values
Formation energy from raw total energies   0.01 eV per atom
Total DFT energy (no corrections)   -3.00 eV/atom
V   487.9 Å³ per cell
D(E_F)   4.12 states/eV/cell

=====

11.
A geometry-optimized Dy2CdAg3 structure. Source: the Alexandria database, functional PBE-GGA.

```
Dy2CdAg3
1.0
3.738 0.000 0.000
0.000 3.773 0.000
-0.010 0.000 9.467
Dy Cd Ag
2 1 3
Cartesian
0.000 0.000 0.000
1.866 1.887 4.586
-0.004 0.000 6.324
3.735 0.000 3.022
1.869 1.887 1.552
1.861 1.887 7.816
```

Calculated values
E_form   -0.29 eV per atom
Total DFT energy (no corrections)   -3.40 eV/atom
V   133.5 Å³ per cell
Energy relative to the lowest polymorph listed for this composition   0 meV/atom
D(E_F)   2.07 states/eV/cell